# Li5Pu2P3H2, relaxed, DFT PBE
data_Li5Pu2P3H2
_cell_length_a 3.905
_cell_length_b 3.905
_cell_length_c 22.836
_cell_angle_alpha 90.00
_cell_angle_beta 90.00
_cell_angle_gamma 90.00
_symmetry_space_group_name_H-M 'I 4/m m m'
_symmetry_Int_Tables_number 139
_symmetry_space_group_name_Hall '-I 4 2'
loop_
_atom_site_label
_atom_site_fract_x
_atom_site_fract_y
_atom_site_fract_z
Li1 0.000 0.000 0.000
Li2 0.000 0.500 0.079
Pu1 0.000 0.000 0.195
P1 0.000 0.000 0.326
P2 0.000 0.000 0.500
H1 0.000 0.000 0.094
# E: -5.79 eV per atom
# DOS(E_F): 29.32 states/eV per cell
# calculated density: 5.89 g/cm3
# crystal system: tetragonal



# LiPHS2, relaxed, DFT PBE
data_LiPHS2
_cell_length_a 4.756
_cell_length_b 4.756
_cell_length_c 3.057
_cell_angle_alpha 90.00
_cell_angle_beta 90.00
_cell_angle_gamma 90.00
_symmetry_space_group_name_H-M 'P 4/m m m'
_symmetry_Int_Tables_number 123
_symmetry_space_group_name_Hall '-P 4 2'
loop_
_atom_site_label
_atom_site_fract_x
_atom_site_fract_y
_atom_site_fract_z
Li1 0.000 0.000 0.000
P1 0.500 0.500 0.000
H1 0.500 0.500 0.500
S1 0.000 0.500 0.500
# energy above the lowest structure with this stoichiometry: 0.0 meV/atom
# DOS(E_F): 3.11 states/eV per cell
# calculated density: 2.48 g/cm3
# crystal system: tetragonal



# LiPHS2, relaxed, DFT PBE
data_LiPHS2
_cell_length_a 4.389
_cell_length_b 4.389
_cell_length_c 4.362
_cell_angle_alpha 90.00
_cell_angle_beta 90.00
_cell_angle_gamma 90.00
_symmetry_space_group_name_H-M 'P 4/m m m'
_symmetry_Int_Tables_number 123
_symmetry_space_group_name_Hall '-P 4 2'
loop_
_atom_site_label
_atom_site_fract_x
_atom_site_fract_y
_atom_site_fract_z
Li1 0.000 0.000 0.000
P1 0.000 0.000 0.500
H1 0.500 0.500 0.500
S1 0.000 0.500 0.000
# energy above the lowest structure with this stoichiometry: 803.5 meV/atom
# DOS(E_F): 3.24 states/eV per cell
# calculated density: 2.04 g/cm3
# crystal system: tetragonal



# LiP2HS, relaxed, DFT PBE
data_LiP2HS
_cell_length_a 3.623
_cell_length_b 3.623
_cell_length_c 5.024
_cell_angle_alpha 90.00
_cell_angle_beta 90.00
_cell_angle_gamma 90.00
_symmetry_space_group_name_H-M 'P 4/m m m'
_symmetry_Int_Tables_number 123
_symmetry_space_group_name_Hall '-P 4 2'
loop_
_atom_site_label
_atom_site_fract_x
_atom_site_fract_y
_atom_site_fract_z
Li1 0.000 0.000 0.000
P1 0.000 0.500 0.500
H1 0.500 0.500 0.500
S1 0.500 0.500 0.000
# energy above the lowest structure with this stoichiometry: 0.0 meV/atom
# DOS(E_F): 2.32 states/eV per cell
# calculated density: 2.57 g/cm3
# crystal system: tetragonal



# LiP2HS, relaxed, DFT PBE
data_LiP2HS
_cell_length_a 4.307
_cell_length_b 4.307
_cell_length_c 4.247
_cell_angle_alpha 90.00
_cell_angle_beta 90.00
_cell_angle_gamma 90.00
_symmetry_space_group_name_H-M 'P 4/m m m'
_symmetry_Int_Tables_number 123
_symmetry_space_group_name_Hall '-P 4 2'
loop_
_atom_site_label
_atom_site_fract_x
_atom_site_fract_y
_atom_site_fract_z
Li1 0.000 0.000 0.000
P1 0.000 0.500 0.000
H1 0.500 0.500 0.500
S1 0.000 0.000 0.500
# energy above the lowest structure with this stoichiometry: 838.2 meV/atom
# DOS(E_F): 1.52 states/eV per cell
# calculated density: 2.15 g/cm3
# crystal system: tetragonal



# Li2PHS4, relaxed, DFT PBE
data_Li2PHS4
_cell_length_a 8.436
_cell_length_b 6.358
_cell_length_c 6.199
_cell_angle_alpha 90.00
_cell_angle_beta 90.00
_cell_angle_gamma 90.00
_symmetry_space_group_name_H-M 'P m n 21'
_symmetry_Int_Tables_number 31
loop_
_symmetry_equiv_pos_as_xyz
'x,y,z'
'-x+1/2,-y,z+1/2'
'-x,y,z'
'x+1/2,-y,z+1/2'
loop_
_atom_site_label
_atom_site_fract_x
_atom_site_fract_y
_atom_site_fract_z
Li1 0.239 0.199 0.000
P1 0.000 0.683 0.971
H1 0.000 0.488 0.366
S1 0.000 0.378 0.882
S2 0.000 0.698 0.330
S3 0.206 0.826 0.891
# E: -4.30 eV per atom
# DOS(E_F): 0.00 states/eV per cell
# calculated density: 1.74 g/cm3
# crystal system: orthorhombic



# Li2ScPH, relaxed, DFT PBE
data_Li2ScPH
_cell_length_a 3.822
_cell_length_b 3.822
_cell_length_c 4.279
_cell_angle_alpha 90.00
_cell_angle_beta 90.00
_cell_angle_gamma 90.00
_symmetry_space_group_name_H-M 'P 4/m m m'
_symmetry_Int_Tables_number 123
_symmetry_space_group_name_Hall '-P 4 2'
loop_
_atom_site_label
_atom_site_fract_x
_atom_site_fract_y
_atom_site_fract_z
Li1 0.000 0.500 0.000
Sc1 0.000 0.000 0.500
P1 0.500 0.500 0.500
H1 0.000 0.000 0.000
# E: -4.48 eV per atom
# DOS(E_F): 2.04 states/eV per cell
# calculated density: 2.41 g/cm3
# crystal system: tetragonal



# LiSiPH, relaxed, DFT PBE
data_LiSiPH
_cell_length_a 3.9235
_cell_length_b 3.9235
_cell_length_c 4.9926
_cell_angle_alpha 90.00
_cell_angle_beta 90.00
_cell_angle_gamma 120.00
_symmetry_space_group_name_H-M 'P 3 m 1'
_symmetry_Int_Tables_number 156
loop_
_symmetry_equiv_pos_as_xyz
'x,y,z'
'-y,x-y,z'
'-x+y,-x,z'
'-y,-x,z'
'-x+y,y,z'
'x,x-y,z'
loop_
_atom_site_label
_atom_site_fract_x
_atom_site_fract_y
_atom_site_fract_z
Li1 0.0000 0.0000 0.0000
Si1 0.3333 0.6667 0.3882
P1 0.0000 0.0000 0.5039
H1 0.3333 0.6667 0.0735
# E: -4.09 eV per atom
# DOS(E_F): 1.60 states/eV per cell
# calculated density: 1.67 g/cm3
# crystal system: trigonal



# LiSmPH, relaxed, DFT PBE
data_LiSmPH
_cell_length_a 3.860
_cell_length_b 3.860
_cell_length_c 8.276
_cell_angle_alpha 90.00
_cell_angle_beta 90.00
_cell_angle_gamma 90.00
_symmetry_space_group_name_H-M 'P 4/n m m'
_symmetry_Int_Tables_number 129
loop_
_symmetry_equiv_pos_as_xyz
'x,y,z'
'-x,-y,-z'
'-y+1/2,x,z'
'y+1/2,-x,-z'
'-x+1/2,-y+1/2,z'
'x+1/2,y+1/2,-z'
'y,-x+1/2,z'
'-y,x+1/2,-z'
'x+1/2,-y,-z'
'-x+1/2,y,z'
'-y,-x,-z'
'y,x,z'
'-x,y+1/2,-z'
'x,-y+1/2,z'
'y+1/2,x+1/2,-z'
'-y+1/2,-x+1/2,z'
loop_
_atom_site_label
_atom_site_fract_x
_atom_site_fract_y
_atom_site_fract_z
Li1 0.250 0.750 0.000
Sm1 0.250 0.250 0.334
P1 0.250 0.250 0.803
H1 0.250 0.750 0.500
# E: -4.82 eV per atom
# calculated density: 5.10 g/cm3
# crystal system: tetragonal



# Li2SnPH, relaxed, DFT PBE
data_Li2SnPH
_cell_length_a 4.149
_cell_length_b 4.149
_cell_length_c 4.241
_cell_angle_alpha 90.00
_cell_angle_beta 90.00
_cell_angle_gamma 90.00
_symmetry_space_group_name_H-M 'P 4/m m m'
_symmetry_Int_Tables_number 123
_symmetry_space_group_name_Hall '-P 4 2'
loop_
_atom_site_label
_atom_site_fract_x
_atom_site_fract_y
_atom_site_fract_z
Li1 0.000 0.500 0.000
Sn1 0.000 0.000 0.500
P1 0.500 0.500 0.500
H1 0.500 0.500 0.000
# E: -3.44 eV per atom
# DOS(E_F): 0.23 states/eV per cell
# calculated density: 3.74 g/cm3
# crystal system: tetragonal



# SrLi2PH, relaxed, DFT PBE
data_SrLi2PH
_cell_length_a 4.127
_cell_length_b 10.955
_cell_length_c 7.206
_cell_angle_alpha 90.00
_cell_angle_beta 90.00
_cell_angle_gamma 90.00
_symmetry_space_group_name_H-M 'C m c m'
_symmetry_Int_Tables_number 63
_symmetry_space_group_name_Hall '-C 2c 2'
loop_
_atom_site_label
_atom_site_fract_x
_atom_site_fract_y
_atom_site_fract_z
Sr1 0.000 0.063 0.250
Li1 0.000 0.330 0.063
P1 0.000 0.218 0.750
H1 0.000 0.500 0.000
# energy above the lowest structure with this stoichiometry: 0.0 meV/atom
# DOS(E_F): 0.00 states/eV per cell
# calculated density: 2.72 g/cm3
# crystal system: orthorhombic



# SrLi2PH, relaxed, DFT PBE
data_SrLi2PH
_cell_length_a 4.279
_cell_length_b 4.279
_cell_length_c 4.818
_cell_angle_alpha 90.00
_cell_angle_beta 90.00
_cell_angle_gamma 90.00
_symmetry_space_group_name_H-M 'P 4/m m m'
_symmetry_Int_Tables_number 123
_symmetry_space_group_name_Hall '-P 4 2'
loop_
_atom_site_label
_atom_site_fract_x
_atom_site_fract_y
_atom_site_fract_z
Sr1 0.000 0.000 0.000
Li1 0.000 0.500 0.500
P1 0.500 0.500 0.000
H1 0.000 0.000 0.500
# energy above the lowest structure with this stoichiometry: 190.0 meV/atom
# DOS(E_F): 0.00 states/eV per cell
# calculated density: 2.51 g/cm3
# crystal system: tetragonal